# LiP4Ru, optimized geometry, DFT PBE
data_LiP4Ru
_chemical_formula_sum 'Li4 P16 Ru4'
_space_group_name_H-M_alt 'F -4 3 m'
_space_group_IT_number 216
_space_group_name_Hall 'F -4 2 3'
_cell_length_a 6.995
_cell_length_b 6.995
_cell_length_c 6.995
_cell_angle_alpha 90.00
_cell_angle_beta 90.00
_cell_angle_gamma 90.00
loop_
_atom_site_label
_atom_site_type_symbol
_atom_site_fract_x
_atom_site_fract_y
_atom_site_fract_z
Li1 Li 0.000 0.000 0.000
P1 P 0.127 0.127 0.627
Ru1 Ru 0.250 0.250 0.250
# Total DFT energy (no corrections)   -4.9770 eV per atom
# V   342.3 Å³ per cell
# DOS at the Fermi energy   19.4 states/eV per cell